PBE K3ReI2F6, relaxed; formation energy from raw total energies = -24.5 eV per formula unit; density of states at the Fermi level = 1.130 states/eV per atom; V = 356 Å³ per cell
1.0
-4.631 2.793 1.258
-3.959 -6.676 0.244
3.954 2.459 7.842
K F I Re
3 6 2 1
direct
0.500 0.000 0.500
0.500 0.500 0.500
0.000 0.500 0.000
0.738 0.825 0.009
0.508 0.881 0.763
0.492 0.119 0.237
0.262 0.817 0.991
0.262 0.175 0.991
0.738 0.183 0.009
0.005 0.299 0.597
0.995 0.701 0.403
0.500 0.000 0.000